# RePdS2N

RePdS2N at its PBEsol-relaxed geometry (meta-GGA SCAN, Alexandria).

Values from the calculation:
- E (Ry/atom) = -1.9117
- total moment (μB/cell) = 0.00

Structure (POSCAR):
```
RePdS2N
1.0
3.6844 0.0000 0.0000
0.0000 4.6812 0.0000
0.0000 0.0000 4.6812
S N Re Pd
2 1 1 1
direct
0.0000 0.5000 0.0000
0.0000 0.0000 0.5000
0.5000 0.0000 0.0000
0.0000 0.0000 0.0000
0.5000 0.5000 0.5000
```